Tl3RhCl: optimized geometry, PBE-GGA.

## Properties
Formation energy without anion corrections: -0.38 eV per atom
Space group: Pm-3m
Energy relative to the lowest polymorph listed for this composition: 0.00 eV per formula unit
Total magnetic moment: 0.00 μB/f.u.
ρ: 8374 kg/m3

Lattice parameters (Å, degrees): 5.3017 5.3017 5.3017 90.00 90.00 90.00
Atoms (fractional coordinates):
Tl (0.0000, 0.5000, 0.0000)
Tl (0.5000, 0.0000, 0.0000)
Tl (0.0000, 0.0000, 0.5000)
Rh (0.0000, 0.0000, 0.0000)
Cl (0.5000, 0.5000, 0.5000)